Entry i
The following is a DFT calculation (PBE) of an optimized crystal structure of PaTa2Nb.

The space group is P4/mmm (No. 123) and the conventional cell measures 3.4095, 3.4095 and 6.8348 Å, with angles of 90.00, 90.00 and 90.00 degrees. The distinct sites, in fractional coordinates, are Pa at (0.0000, 0.0000, 0.0000), Ta at (0.5000, 0.5000, 0.2620) and Nb at (0.0000, 0.0000, 0.5000).

***

Entry ii
The following is a DFT calculation (PBE) of an optimized crystal structure of PaTa2Nb.

The space group is P4/mmm (No. 123) and the conventional cell measures 4.8714, 4.8714 and 3.3551 Å, with angles of 90.00, 90.00 and 90.00 degrees. The distinct sites, in fractional coordinates, are Pa at (0.0000, 0.0000, 0.0000), Ta at (0.0000, 0.5000, 0.5000) and Nb at (0.5000, 0.5000, 0.0000).

***

So which one wins? Going from most stable to least: entry i, entry ii.

***

Entry i
The following is a DFT calculation (PBE) of an optimized crystal structure of PaNbTc.

The space group is I4mm (No. 107) and the conventional cell measures 3.7771, 3.7771 and 8.3334 Å, with angles of 90.00, 90.00 and 90.00 degrees. The distinct sites, in fractional coordinates, are Pa at (0.0000, 0.0000, 0.0000), Nb at (0.0000, 0.0000, 0.6857) and Tc at (0.0000, 0.0000, 0.3083).

***

Entry ii
The following is a DFT calculation (PBE) of an optimized crystal structure of PaNbTc.

The space group is P3m1 (No. 156) and the conventional cell measures 4.6138, 4.6138 and 3.0381 Å, with angles of 90.00, 90.00 and 120.00 degrees. The distinct sites, in fractional coordinates, are Pa at (0.0000, 0.0000, 0.0000), Nb at (0.3333, 0.6667, 0.7023) and Tc at (0.6667, 0.3333, 0.2935).

***

So which one wins? Going from most stable to least: entry ii, entry i.

***

Entry i
The following is a DFT calculation (PBE) of an optimized crystal structure of PaNbTe3.

The space group is C2/m (No. 12) and the conventional cell measures 15.5226, 3.9401 and 8.9805 Å, with angles of 90.00, 90.00 and 90.00 degrees. The distinct sites, in fractional coordinates, are Pa at (0.1015, 0.0000, 0.0901), Nb at (0.2090, 0.5000, 0.6046), Te at (0.0513, 0.5000, 0.8200), Te at (0.1141, 0.0000, 0.4501) and Te at (0.2485, 0.0000, 0.8336).

***

Entry ii
The following is a DFT calculation (PBE) of an optimized crystal structure of PaNbTe3.

The space group is C2/m (No. 12) and the conventional cell measures 15.3169, 3.8807 and 11.0764 Å, with angles of 90.00, 124.73 and 90.00 degrees. The distinct sites, in fractional coordinates, are Pa at (0.0839, 0.0000, 0.4190), Nb at (0.2485, 0.5000, 0.1028), Te at (0.0899, 0.0000, 0.9422), Te at (0.1086, 0.5000, 0.6678) and Te at (0.1752, 0.5000, 0.3021).

***

So which one wins? Going from most stable to least: entry i, entry ii.

***

Entry i
The following is a DFT calculation (PBE) of an optimized crystal structure of PaTiNb2.

The space group is Fm-3m (No. 225) and the conventional cell measures 6.7660, 6.7660 and 6.7660 Å, with angles of 90.00, 90.00 and 90.00 degrees. The distinct sites, in fractional coordinates, are Pa at (0.0000, 0.0000, 0.0000), Ti at (0.0000, 0.0000, 0.5000) and Nb at (0.2500, 0.2500, 0.2500).

***

Entry ii
The following is a DFT calculation (PBE) of an optimized crystal structure of PaTiNb2.

The space group is P4/mmm (No. 123) and the conventional cell measures 3.4240, 3.4240 and 6.6241 Å, with angles of 90.00, 90.00 and 90.00 degrees. The distinct sites, in fractional coordinates, are Pa at (0.0000, 0.0000, 0.0000), Ti at (0.0000, 0.0000, 0.5000) and Nb at (0.5000, 0.5000, 0.2478).

***

Entry iii
The following is a DFT calculation (PBE) of an optimized crystal structure of PaTiNb2.

The space group is R-3m (No. 166, hexagonal axes) and the conventional cell measures 2.9952, 2.9952 and 31.0057 Å, with angles of 90.00, 90.00 and 120.00 degrees. The distinct sites, in fractional coordinates, are Pa at (0.0000, 0.0000, 0.0000), Ti at (0.0000, 0.0000, 0.5000) and Nb at (0.0000, 0.0000, 0.2426).

***

So which one wins? Going from most stable to least: entry i, entry ii, entry iii.